{
  "formula": "RbAcAgCl6",
  "functional": "PBE",
  "state": "relaxed",
  "lattice_angstrom": [[-3.068, 1.568, 8.748], [-2.078, -9.385, 0.953], [8.442, 2.838, -2.600]],
  "species": ["Ac", "Ac", "Cl", "Cl", "Cl", "Cl", "Cl", "Cl", "Cl", "Cl", "Cl", "Cl", "Cl", "Cl", "Ag", "Ag", "Rb", "Rb"],
  "fractional_positions": [[0.500, 0.000, 0.500], [0.000, 0.000, 0.500], [0.168, 0.394, 0.725], [0.832, 0.170, 0.275], [0.832, 0.606, 0.275], [0.391, 0.141, 0.782], [0.168, 0.830, 0.725], [0.557, 0.394, 0.725], [0.609, 0.859, 0.218], [0.443, 0.170, 0.275], [0.890, 0.140, 0.779], [0.443, 0.606, 0.275], [0.557, 0.830, 0.725], [0.110, 0.860, 0.221], [0.500, 0.500, 0.000], [0.500, 0.000, 0.000], [0.818, 0.568, 0.637], [0.182, 0.432, 0.363]],
  "density_g_cm3": 3.630,
  "total_energy_ev_per_atom": -3.7149,
  "e_form_raw_mev_per_atom": -1603
}



{
  "formula": "TmScCdPb",
  "functional": "PBE",
  "state": "relaxed",
  "lattice_angstrom": [[5.182, 0.000, 0.000], [2.591, 4.488, 0.000], [2.591, 1.496, 4.231]],
  "species": ["Cd", "Tm", "Sc", "Pb"],
  "fractional_positions": [[0.250, 0.250, 0.250], [0.500, 0.500, 0.500], [0.000, 0.000, 0.000], [0.750, 0.750, 0.750]],
  "density_g_cm3": 9.002,
  "total_energy_ev_per_atom": -4.1655,
  "delta_e_f_mev_per_atom": -308.9
}



{
  "formula": "YFe2Co",
  "functional": "PBE",
  "state": "relaxed",
  "lattice_angstrom": [[-0.744, -0.957, -3.844], [-3.466, -1.800, -0.995], [-3.451, 3.405, -2.291]],
  "species": ["Fe", "Fe", "Y", "Co"],
  "fractional_positions": [[0.553, 0.553, 0.341], [0.947, 0.947, 0.159], [0.750, 0.750, 0.750], [0.250, 0.250, 0.250]],
  "density_g_cm3": 6.341,
  "total_energy_ev_per_atom": -7.5891,
  "delta_e_f_mev_per_atom": 34.7
}